VASP calculation (GGA-PBE) on an optimized crystal structure of CaOsCl2.

Geometry as POSCAR:
```
CaOsCl2
1.0
3.163 0.019 0.000
-0.016 3.163 0.000
0.000 0.000 10.976
Ca Os Cl
1 1 2
Direct
0.500 0.500 0.750 Ca
0.500 0.500 0.250 Os
0.000 0.000 0.899 Cl
0.000 0.000 0.601 Cl
```

density = 4.56 g cm⁻³
final energy = -17.2 eV per cell
DOS(E_F) = 0.35 states/eV/atom
formation energy without anion corrections = -0.25 eV/f.u.
symmetry = P4/mmm (123)